{"formula": "CdSbTe2Rh", "functional": "GGA-PBE", "state": "optimized geometry", "relative_energy_mev_per_atom": 0, "total_energy_ev_per_fu": -17.45, "n_ef_per_ev_atom": 0.651, "spacegroup": "P4/mmm", "e_form_raw_kcal_per_mol_atoms": 5.636, "density_g_cm3": 6.7, "lattice": [[-4.508, -2.075, 2.245], [1.134, -4.849, -2.205], [2.568, -1.228, 4.022]], "species": ["Sb", "Cd", "Rh", "Te", "Te"], "fractional_positions": [[0.000, 0.000, 0.500], [0.500, 0.500, 0.500], [0.000, 0.000, 0.000], [0.500, 0.000, 0.000], [0.000, 0.500, 0.000]]}

{"formula": "CdSb2TeRh", "functional": "GGA-PBE", "state": "optimized geometry", "relative_energy_mev_per_atom": 0, "total_energy_ev_per_fu": -18.41, "n_ef_per_ev_atom": 0.672, "spacegroup": "P4/mmm", "e_form_raw_kcal_per_mol_atoms": 5.747, "density_g_cm3": 6.7, "lattice": [[-3.964, 0.369, 3.116], [-0.884, -4.949, -0.538], [3.378, -1.085, 4.426]], "species": ["Sb", "Sb", "Rh", "Cd", "Te"], "fractional_positions": [[0.000, 0.500, 0.000], [0.500, 0.000, 0.000], [0.000, 0.000, 0.000], [0.500, 0.500, 0.500], [0.000, 0.000, 0.500]]}

Copy entry 1 word for word.
{"formula": "CdSbTe2Rh", "functional": "GGA-PBE", "state": "optimized geometry", "relative_energy_mev_per_atom": 0, "total_energy_ev_per_fu": -17.45, "n_ef_per_ev_atom": 0.651, "spacegroup": "P4/mmm", "e_form_raw_kcal_per_mol_atoms": 5.636, "density_g_cm3": 6.7, "lattice": [[-4.508, -2.075, 2.245], [1.134, -4.849, -2.205], [2.568, -1.228, 4.022]], "species": ["Sb", "Cd", "Rh", "Te", "Te"], "fractional_positions": [[0.000, 0.000, 0.500], [0.500, 0.500, 0.500], [0.000, 0.000, 0.000], [0.500, 0.000, 0.000], [0.000, 0.500, 0.000]]}